Entry from Alexandria via LeMat-Bulk: an optimized crystal structure of Hf3Zn (PBE).

Space-group type: Imm2 (44)
Calculated formation energy: -0.04 eV/atom
Magnetization: 0.0 μB/f.u.

Unit cell a=3.156 b=9.893 c=5.225 alpha=90.00 beta=90.00 gamma=90.00
Fractional coordinates of all 8 atoms:
Hf 0.000 0.000 0.000
Hf 0.000 0.231 0.400
Hf 0.000 0.769 0.400
Hf 0.500 0.269 0.900
Hf 0.500 0.500 0.500
Hf 0.500 0.731 0.900
Zn 0.000 0.500 0.041
Zn 0.500 0.000 0.541